Model P:
The following is a DFT calculation (PBE-GGA) of a relaxed structure of Mg2TlRe.

- density of states at the Fermi level (states/eV per atom) = 0.52
- SG = F-43m

extended XYZ file:
```
4
Lattice="4.744 0.000 0.000 2.372 4.109 0.000 2.372 1.370 3.874" Properties=species:S:1:pos:R:3 pbc="T T T"
Mg 0.000 0.000 0.000
Mg 2.372 1.370 0.968
Re 4.744 2.739 1.937
Tl 7.117 4.109 2.905
```

Model Q:
The following is a DFT calculation (PBE-GGA) of a relaxed structure of Mg2TlRe.

- density of states at the Fermi level (states/eV per atom) = 0.66
- SG = Cmm2

extended XYZ file:
```
4
Lattice="2.938 0.006 0.000 -0.922 2.790 0.000 0.000 0.000 9.761" Properties=species:S:1:pos:R:3 pbc="T T T"
Mg 0.000 0.000 0.082
Mg 1.008 1.398 2.638
Re 0.000 0.000 4.756
Tl 1.008 1.398 7.167
```

Model R:
The following is a DFT calculation (PBE-GGA) of a relaxed structure of Mg2TlRe.

- density of states at the Fermi level (states/eV per atom) = 0.48
- SG = Pmm2

extended XYZ file:
```
4
Lattice="-2.725 0.032 -1.031 0.623 -4.041 -1.771 -1.902 -2.464 4.954" Properties=species:S:1:pos:R:3 pbc="T T T"
Mg -0.009 -0.011 0.022
Mg -1.568 -2.674 -0.054
Re -0.908 -1.176 2.364
Tl -2.471 -3.844 2.298
```

Model S:
The following is a DFT calculation (PBE-GGA) of a relaxed structure of Mg2TlRe.

- density of states at the Fermi level (states/eV per atom) = 0.70
- SG = Fm-3m

extended XYZ file:
```
4
Lattice="0.000 3.339 3.339 3.339 0.000 3.339 3.339 3.339 0.000" Properties=species:S:1:pos:R:3 pbc="T T T"
Re 0.000 0.000 0.000
Tl 3.339 3.339 3.339
Mg 1.670 1.670 1.670
Mg 5.009 5.009 5.009
```

Stability order, top to bottom: model R, model Q, model P, model S

Model P:
The following is a DFT calculation (PBE-GGA) of a relaxed structure of Mg3TlRe.

- density of states at the Fermi level (states/eV per atom) = 1.14
- SG = Pm-3m

extended XYZ file:
```
5
Lattice="5.165 0.000 0.000 0.000 5.165 0.000 0.000 0.000 5.165" Properties=species:S:1:pos:R:3 pbc="T T T"
Re 0.000 0.000 0.000
Tl 2.582 2.582 2.582
Mg 0.000 2.582 0.000
Mg 0.000 0.000 2.582
Mg 2.582 0.000 0.000
```

Model Q:
The following is a DFT calculation (PBE-GGA) of a relaxed structure of Mg3TlRe.

- density of states at the Fermi level (states/eV per atom) = 0.79
- SG = Pm-3m

extended XYZ file:
```
5
Lattice="-0.210 -5.185 -0.576 4.148 -0.516 3.129 -3.165 -0.332 4.140" Properties=species:S:1:pos:R:3 pbc="T T T"
Re 0.387 -3.016 3.347
Tl 0.000 0.000 0.000
Mg 2.074 -0.258 1.565
Mg -1.582 -0.166 2.070
Mg -0.105 -2.593 -0.288
```

Stability order, top to bottom: model P, model Q

Model P:
The following is a DFT calculation (PBE-GGA) of a relaxed structure of Mg2VRe2.

- density of states at the Fermi level (states/eV per atom) = 1.04
- SG = I4/mmm

extended XYZ file:
```
5
Lattice="-1.229 -0.538 -3.343 -2.806 -1.830 1.326 -5.806 4.923 -0.599" Properties=species:S:1:pos:R:3 pbc="T T T"
Re -4.526 1.600 -2.476
Re -5.315 0.954 -0.141
Mg -2.762 0.016 -0.928
Mg -7.079 2.539 -1.689
V 0.000 0.000 0.000
```

Model Q:
The following is a DFT calculation (PBE-GGA) of a relaxed structure of Mg2VRe2.

- density of states at the Fermi level (states/eV per atom) = 0.79
- SG = P4/mbm

extended XYZ file:
```
10
Lattice="-5.860 0.739 -3.274 -0.203 -6.653 -1.139 -1.691 -0.449 2.924" Properties=species:S:1:pos:R:3 pbc="T T T"
Re -2.000 -4.579 0.126
Re -4.961 -5.224 -1.685
Re -5.753 -1.784 -1.615
Re -2.792 -1.140 0.196
Mg -2.352 -5.523 -2.208
Mg -5.233 -3.539 -3.569
Mg -3.710 -0.392 -2.205
Mg -0.830 -2.375 -0.844
V 0.000 0.000 0.000
V -3.031 -2.957 -2.207
```

Stability order, top to bottom: model P, model Q

Model P:
The following is a DFT calculation (PBE-GGA) of a relaxed structure of MgV2Re2.

- density of states at the Fermi level (states/eV per atom) = 0.93
- SG = P4/mbm

extended XYZ file:
```
10
Lattice="-7.198 1.832 0.062 -1.676 -6.473 -3.234 -0.286 -1.213 2.577" Properties=species:S:1:pos:R:3 pbc="T T T"
Re -3.976 -4.878 -2.739
Re -7.228 -2.620 -2.037
Re -4.898 0.237 -0.433
Re -1.646 -2.021 -1.135
Mg 0.000 0.000 0.000
Mg -4.437 -2.320 -1.586
V -2.313 -4.540 -0.805
V -6.247 -4.918 -1.420
V -6.848 -1.314 0.210
V -2.914 -0.937 0.825
```

Model Q:
The following is a DFT calculation (PBE-GGA) of a relaxed structure of MgV2Re2.

- density of states at the Fermi level (states/eV per atom) = 1.00
- SG = P4/mbm

extended XYZ file:
```
10
Lattice="7.420 0.000 0.000 0.000 7.420 0.000 0.000 0.000 2.850" Properties=species:S:1:pos:R:3 pbc="T T T"
Re 1.146 4.856 1.425
Re 4.856 6.274 1.425
Re 6.274 2.564 1.425
Re 2.564 1.146 1.425
Mg 0.000 0.000 0.000
Mg 3.710 3.710 0.000
V 2.653 6.363 0.000
V 6.363 4.766 0.000
V 4.766 1.056 0.000
V 1.056 2.653 0.000
```

Stability order, top to bottom: model Q, model P